This record from Alexandria describes Mn2BiO5 after structural relaxation. The functional is PBE+U.

Cell lengths 7.6545, 8.6535, 5.8815 Å; angles 90.00, 90.00, 90.00 degrees
Last column: nearest neighbours and their distance in Å.
Space group Pbam (No. 55)
Asymmetric unit:
Mn 0.0000 0.0000 0.2419  6 O 1.91-1.99
Mn 0.0948 0.3488 0.0000  5 O 1.95-2.10
Bi 0.1549 0.6644 0.5000  6 O 2.32-2.49
O 0.0000 0.5000 0.2161  2 Mn 1.96
O 0.1138 0.2009 0.2498  2 Mn 1.95
O 0.1447 0.9256 0.0000  3 Mn 1.91-2.10
O 0.1549 0.9426 0.5000  2 Mn 1.99

Computed properties:
The raw total energy is -6.897 eV/atom. The calculation puts the calculated volume at 389.6 Å³/cell.